# 1
DFT (GGA-PBE) results for a relaxed structure of TlFe2Au.

Results
ΔH_f (0 K) = 64 kJ/mol of atoms
DFT total energy = -79.7 eV per cell
total magnetization = 1.3894 μB/atom

a b c (Å): 3.9720 3.9720 19.0228
angles (deg): 90.00 90.00 90.00
Space group I-42d (No. 122)
Symmetry-distinct sites (fractional):
Tl  0.0000  0.0000  0.0000 x4
Fe  0.2047  0.2500  0.6250 x8
Au  0.0000  0.0000  0.5000 x4

# 2
DFT (GGA-PBE) results for a relaxed structure of TlFe2Au.

Results
ΔH_f (0 K) = 55 kJ/mol of atoms
DFT total energy = -60.8 eV per cell
total magnetization = 1.3471 μB/atom

a b c (Å): 2.9727 2.9727 26.6282
angles (deg): 90.00 90.00 120.00
Space group R-3m (No. 166, hexagonal axes)
Symmetry-distinct sites (fractional):
Tl  0.0000  0.0000  0.0000 x3
Fe  0.0000  0.0000  0.2468 x6
Au  0.0000  0.0000  0.5000 x3

# 3
DFT (GGA-PBE) results for a relaxed structure of Tl2FeAu2.

Results
ΔH_f (0 K) = 50 kJ/mol of atoms
DFT total energy = -34.3 eV per cell
total magnetization = 0.5989 μB/atom
relative energy among the computed polymorphs = 0.190 eV/atom

a b c (Å): 7.6684 7.6684 3.8406
angles (deg): 90.00 90.00 90.00
Space group P4/mbm (No. 127)
Symmetry-distinct sites (fractional):
Tl  0.1689  0.3311  0.0000 x4
Fe  0.0000  0.0000  0.0000 x2
Au  0.1338  0.6338  0.5000 x4

| no. | theoretical density (g/cm3) |
| --- | --- |
| 1 | 11.35 |
| 2 | 12.54 |
| 3 | 12.63 |